Record 1
# Ba8Ho3Pt4O18

A geometry-optimized Ba8Ho3Pt4O18 structure (PBE, Alexandria).

Structure (POSCAR):
```
Ba8Ho3Pt4O18
1.0
-2.578 4.601 6.619
3.476 -5.635 5.271
7.273 4.325 -0.173
Ba Ho Pt O
8 3 4 18
direct
0.237 0.237 0.237
0.763 0.763 0.763
0.763 0.763 0.237
0.763 0.237 0.763
0.237 0.237 0.763
0.237 0.763 0.237
0.237 0.763 0.763
0.763 0.237 0.237
0.500 0.000 0.000
0.000 0.500 0.000
0.000 0.000 0.500
0.000 0.000 0.000
0.000 0.500 0.500
0.500 0.000 0.500
0.500 0.500 0.000
0.261 0.500 0.000
0.739 0.500 0.000
0.000 0.261 0.500
0.500 0.261 0.000
0.000 0.739 0.500
0.500 0.739 0.000
0.500 0.000 0.261
0.261 0.000 0.500
0.500 0.000 0.739
0.739 0.000 0.500
0.000 0.500 0.261
0.000 0.500 0.739
0.239 0.000 0.000
0.761 0.000 0.000
0.000 0.239 0.000
0.000 0.761 0.000
0.000 0.000 0.239
0.000 0.000 0.761
```

***

Record 2
# Ba3HoPt2O9

A geometry-optimized Ba3HoPt2O9 structure (PBE, Alexandria).

Structure (POSCAR):
```
Ba3HoPt2O9
1.0
5.902 0.000 0.000
-2.951 5.111 0.000
0.000 0.000 7.268
Ba Ho Pt O
3 1 2 9
direct
0.333 0.667 0.680
0.000 0.000 0.000
0.667 0.333 0.320
0.000 0.000 0.500
0.333 0.667 0.165
0.667 0.333 0.835
0.825 0.175 0.677
0.825 0.650 0.677
0.350 0.175 0.677
0.650 0.825 0.323
0.175 0.350 0.323
0.175 0.825 0.323
0.500 0.000 0.000
0.000 0.500 0.000
0.500 0.500 0.000
```

***

Record 3
# Ba17Ho16Zn8Pt4O57

A geometry-optimized Ba17Ho16Zn8Pt4O57 structure (PBE, Alexandria).

Structure (POSCAR):
```
Ba17Ho16Zn8Pt4O57
1.0
16.573 0.000 0.000
-15.574 5.668 0.000
-0.500 -2.834 16.322
Ba Ho Zn Pt O
17 16 8 4 57
direct
0.723 0.888 0.611
0.558 0.932 0.490
0.649 0.342 0.991
0.189 0.268 0.457
0.268 0.811 0.079
0.068 0.558 0.626
0.112 0.723 0.836
0.658 0.649 0.307
0.888 0.277 0.164
0.342 0.351 0.693
0.732 0.189 0.921
0.442 0.068 0.510
0.811 0.732 0.543
0.351 0.658 0.009
0.932 0.442 0.374
0.000 0.000 0.000
0.277 0.112 0.389
0.506 0.251 0.757
0.052 0.172 0.224
0.950 0.674 0.625
0.948 0.828 0.776
0.489 0.599 0.088
0.674 0.050 0.724
0.401 0.489 0.889
0.251 0.494 0.744
0.050 0.326 0.375
0.172 0.948 0.119
0.599 0.511 0.111
0.511 0.401 0.912
0.494 0.749 0.243
0.749 0.506 0.256
0.326 0.950 0.276
0.828 0.052 0.881
0.379 0.213 0.592
0.787 0.379 0.167
0.075 0.867 0.942
0.867 0.925 0.791
0.621 0.787 0.408
0.133 0.075 0.209
0.925 0.133 0.058
0.213 0.621 0.833
0.417 0.856 0.273
0.583 0.144 0.727
0.144 0.417 0.561
0.856 0.583 0.439
0.760 0.299 0.059
0.608 0.231 0.839
0.764 0.410 0.690
0.280 0.926 0.690
0.074 0.222 0.797
0.055 0.435 0.490
0.231 0.392 0.624
0.888 0.367 0.768
0.392 0.769 0.161
0.001 0.319 0.824
0.159 0.157 0.317
0.769 0.608 0.376
0.720 0.074 0.310
0.161 0.316 0.976
0.926 0.778 0.203
0.814 0.839 0.155
0.299 0.240 0.539
0.222 0.425 0.148
0.684 0.660 0.845
0.701 0.760 0.461
0.841 0.843 0.683
0.839 0.684 0.024
0.565 0.055 0.620
0.157 0.841 0.998
0.590 0.280 0.355
0.236 0.590 0.310
0.495 0.177 0.176
0.074 0.764 0.355
0.660 0.814 0.976
0.319 0.495 0.319
0.600 0.121 0.232
0.999 0.681 0.176
0.316 0.340 0.155
0.575 0.723 0.797
0.681 0.505 0.681
0.435 0.945 0.380
0.505 0.823 0.824
0.823 0.999 0.319
0.778 0.575 0.852
0.879 0.112 0.479
0.500 0.500 0.000
0.400 0.879 0.768
0.121 0.888 0.521
0.340 0.186 0.024
0.112 0.633 0.232
0.240 0.701 0.941
0.425 0.277 0.203
0.633 0.400 0.521
0.186 0.161 0.845
0.367 0.600 0.479
0.177 0.001 0.681
0.843 0.159 0.002
0.410 0.720 0.645
0.723 0.926 0.148
0.945 0.565 0.510
0.926 0.236 0.645
0.277 0.074 0.852
```

***

Record 4
# BaHoPu2O8

A geometry-optimized BaHoPu2O8 structure (PBE, Alexandria).

Structure (POSCAR):
```
BaHoPu2O8
1.0
-0.598 -3.463 4.294
3.673 -3.472 -2.289
2.428 5.968 1.566
Ba Ho Pu O
1 1 2 8
direct
0.750 0.250 0.500
0.000 0.000 0.000
0.500 0.500 0.000
0.250 0.750 0.500
0.886 0.838 0.238
0.352 0.400 0.238
0.600 0.648 0.762
0.162 0.115 0.762
0.885 0.400 0.238
0.352 0.838 0.238
0.162 0.648 0.762
0.600 0.114 0.762
```

***

Calculated total energy in order - -6.60 -6.41 -6.75 -8.98 eV per atom